Material: LiPmMnCl6
Method: DFT, PBE-GGA
State: optimized geometry

a b c (Å): 6.5575 6.5575 11.7659
angles (deg): 90.00 90.00 120.00
Last column: nearest neighbours and their distance in Å.
Positions (direct):
Cl: 0.0142 0.6828 0.3773  1 Mn 2.57, 1 Li 2.62, 1 Pm 2.73
Pm: 0.3333 0.6667 0.7500  6 Cl 2.73
Cl: 0.6686 0.9858 0.3773  1 Mn 2.57, 1 Li 2.62, 1 Pm 2.73
Li: 0.6667 0.3333 0.7500  6 Cl 2.62
Cl: 0.6828 0.0142 0.8773  1 Mn 2.57, 1 Li 2.62, 1 Pm 2.73
Cl: 0.6828 0.6686 0.6227  1 Mn 2.57, 1 Li 2.62, 1 Pm 2.73
Pm: 0.6667 0.3333 0.2500  6 Cl 2.73
Cl: 0.3314 0.3172 0.8773  1 Mn 2.57, 1 Li 2.62, 1 Pm 2.73
Cl: 0.0142 0.3314 0.1227  1 Mn 2.57, 1 Li 2.62, 1 Pm 2.73
Cl: 0.3314 0.0142 0.6227  1 Mn 2.57, 1 Li 2.62, 1 Pm 2.73
Cl: 0.3172 0.9858 0.1227  1 Mn 2.57, 1 Li 2.62, 1 Pm 2.73
Mn: 0.0000 0.0000 0.0000  6 Cl 2.57
Cl: 0.6686 0.6828 0.1227  1 Mn 2.57, 1 Li 2.62, 1 Pm 2.73
Mn: 0.0000 0.0000 0.5000  6 Cl 2.57
Cl: 0.3172 0.3314 0.3773  1 Mn 2.57, 1 Li 2.62, 1 Pm 2.73
Cl: 0.9858 0.6686 0.8773  1 Mn 2.57, 1 Li 2.62, 1 Pm 2.73
Li: 0.3333 0.6667 0.2500  6 Cl 2.62
Cl: 0.9858 0.3172 0.6227  1 Mn 2.57, 1 Li 2.62, 1 Pm 2.73

The formation energy without anion corrections comes out at -1.723 eV per atom. Its density of states at the Fermi level is 0.000 states/eV per atom.